Record 1
# NaSrClO GGA-PBE optimized geometry
data_NaSrClO
_chemical_formula_sum 'Na3 Sr3 Cl3 O3'
_cell_length_a 3.8183
_cell_length_b 3.8183
_cell_length_c 19.4915
_cell_angle_alpha 90.00
_cell_angle_beta 90.00
_cell_angle_gamma 120.00
_space_group_name_H-M_alt 'R 3 m'
_space_group_IT_number 160
_space_group_name_Hall 'R 3 -2"'
loop_
_atom_site_label
_atom_site_type_symbol
_atom_site_fract_x
_atom_site_fract_y
_atom_site_fract_z
_atom_site_occupancy
Na1 Na 0.0000 0.0000 0.0000 1
Sr1 Sr 0.0000 0.0000 0.5356 1
Cl1 Cl 0.0000 0.0000 0.7593 1
O1 O 0.0000 0.0000 0.2556 1
# Theoretical density: 3.28 g/cm3
# Formation energy without anion corrections: -2161 meV per atom

***

Record 2
# Na3Sr2Cl3O2 GGA-PBE optimized geometry
data_Na3Sr2Cl3O2
_chemical_formula_sum 'Na6 Sr4 Cl6 O4'
_cell_length_a 4.671
_cell_length_b 4.671
_cell_length_c 22.411
_cell_angle_alpha 90.00
_cell_angle_beta 90.00
_cell_angle_gamma 90.00
_space_group_name_H-M_alt 'I 4/m m m'
_space_group_IT_number 139
_space_group_name_Hall '-I 4 2'
loop_
_atom_site_label
_atom_site_type_symbol
_atom_site_fract_x
_atom_site_fract_y
_atom_site_fract_z
_atom_site_occupancy
Na1 Na 0.000 0.000 0.000 1
Na2 Na 0.000 0.000 0.382 1
Sr1 Sr 0.000 0.500 0.250 1
Cl1 Cl 0.000 0.000 0.124 1
Cl2 Cl 0.000 0.000 0.500 1
O1 O 0.000 0.000 0.283 1
# Theoretical density: 2.60 g/cm3
# Formation energy without anion corrections: -2031 meV per atom

***

Record 3
# Na5TcCl2O4 GGA-PBE optimized geometry
data_Na5TcCl2O4
_chemical_formula_sum 'Na10 Tc2 Cl4 O8'
_cell_length_a 7.358
_cell_length_b 9.646
_cell_length_c 6.018
_cell_angle_alpha 90.00
_cell_angle_beta 90.00
_cell_angle_gamma 90.00
_space_group_name_H-M_alt 'A m m 2'
_space_group_IT_number 38
loop_
_space_group_symop_operation_xyz
'x,y,z'
'-x,-y,z'
'-x,y,z'
'x,-y,z'
'x,y+1/2,z+1/2'
'-x,-y+1/2,z+1/2'
'-x,y+1/2,z+1/2'
'x,-y+1/2,z+1/2'
loop_
_atom_site_label
_atom_site_type_symbol
_atom_site_fract_x
_atom_site_fract_y
_atom_site_fract_z
_atom_site_occupancy
Na1 Na 0.000 0.000 0.000 1
Na2 Na 0.288 0.182 0.386 1
Tc1 Tc 0.500 0.000 0.914 1
Cl1 Cl 0.000 0.183 0.659 1
O1 O 0.307 0.000 0.114 1
O2 O 0.500 0.156 0.732 1
# Theoretical density: 2.71 g/cm3
# Formation energy without anion corrections: -1578 meV per atom

***

Record 4
# Na2TcCl5O GGA-PBE optimized geometry
data_Na2TcCl5O
_chemical_formula_sum 'Na4 Tc2 Cl10 O2'
_cell_length_a 7.365
_cell_length_b 7.365
_cell_length_c 10.071
_cell_angle_alpha 90.00
_cell_angle_beta 90.00
_cell_angle_gamma 90.00
_space_group_name_H-M_alt 'I 4 m m'
_space_group_IT_number 107
_space_group_name_Hall 'I 4 -2'
loop_
_atom_site_label
_atom_site_type_symbol
_atom_site_fract_x
_atom_site_fract_y
_atom_site_fract_z
_atom_site_occupancy
Na1 Na 0.000 0.500 0.000 1
Tc1 Tc 0.000 0.000 0.396 1
Cl1 Cl 0.000 0.000 0.634 1
Cl2 Cl 0.233 0.233 0.411 1
O1 O 0.000 0.000 0.229 1
# Theoretical density: 2.05 g/cm3
# Formation energy without anion corrections: -1190 meV per atom